1.
Density functional theory data (PBE-GGA) for a relaxed Ac12LaNd7 crystal.

Summary:
energy relative to the lowest polymorph listed for this composition = 0 meV per atom
ΔH_f (0 K) = 0.196 eV/atom
electronic total energy = -4.18 eV/atom
spin magnetization = 0.0 μB per formula unit

Cell: 20.9329 20.9329 6.7003 Å, 90.00 90.00 120.00°
Space group R-3 (No. 148, hexagonal axes)
Symmetry-distinct sites (fractional):
Ac 0.0001 0.4126 0.0005 (multiplicity 18)
Ac 0.1014 0.5510 0.4812 (multiplicity 18)
La 0.0000 0.0000 0.5000 (multiplicity 3)
Nd 0.0000 0.0000 0.0000 (multiplicity 3)
Nd 0.0814 0.1623 0.3057 (multiplicity 18)

2.
Density functional theory data (PBE-GGA) for a relaxed AcLa4Nd crystal.

Summary:
energy relative to the lowest polymorph listed for this composition = 0 meV per atom
ΔH_f (0 K) = 0.021 eV/atom
electronic total energy = -4.74 eV/atom
spin magnetization = 0.0 μB per formula unit

Cell: 5.2996 3.7687 11.3047 Å, 90.00 90.08 90.00°
Space group P2/m (No. 10)
Symmetry-distinct sites (fractional):
Ac 0.0000 0.0000 0.0000 (multiplicity 1)
La 0.0003 0.0000 0.3364 (multiplicity 2)
La 0.5005 0.5000 0.1747 (multiplicity 2)
Nd 0.5000 0.5000 0.5000 (multiplicity 1)

3.
Density functional theory data (PBE-GGA) for a relaxed AcLa8Nd2 crystal.

Summary:
energy relative to the lowest polymorph listed for this composition = 16 meV per atom
ΔH_f (0 K) = 0.110 eV/atom
electronic total energy = -4.71 eV/atom
spin magnetization = 0.0 μB per formula unit

Cell: 9.4982 17.2427 6.2114 Å, 90.00 125.73 90.00°
Space group C2/m (No. 12)
Symmetry-distinct sites (fractional):
Ac 0.0000 0.0000 0.0000 (multiplicity 2)
La 0.0000 0.2081 0.0000 (multiplicity 4)
La 0.0694 0.5000 0.7968 (multiplicity 4)
La 0.2158 0.1212 0.6901 (multiplicity 8)
Nd 0.0000 0.3112 0.5000 (multiplicity 4)

4.
Density functional theory data (PBE-GGA) for a relaxed AcLa3Nd12 crystal.

Summary:
ΔH_f (0 K) = 0.015 eV/atom
electronic total energy = -4.74 eV/atom
spin magnetization = 0.0 μB per formula unit

Cell: 5.2521 5.2521 20.9632 Å, 90.00 90.00 90.00°
Space group P4/mmm (No. 123)
Symmetry-distinct sites (fractional):
Ac 0.0000 0.0000 0.0000 (multiplicity 1)
La 0.0000 0.0000 0.2520 (multiplicity 2)
La 0.0000 0.0000 0.5000 (multiplicity 1)
Nd 0.0000 0.5000 0.1281 (multiplicity 4)
Nd 0.0000 0.5000 0.3761 (multiplicity 4)
Nd 0.5000 0.5000 0.0000 (multiplicity 1)
Nd 0.5000 0.5000 0.2522 (multiplicity 2)
Nd 0.5000 0.5000 0.5000 (multiplicity 1)

5.
Density functional theory data (PBE-GGA) for a relaxed Ac3La5Nd crystal.

Summary:
ΔH_f (0 K) = 0.250 eV/atom
electronic total energy = -4.39 eV/atom
spin magnetization = 0.0 μB per formula unit

Cell: 9.3230 9.3230 16.3044 Å, 90.00 90.00 90.00°
Space group I4/mcm (No. 140)
Symmetry-distinct sites (fractional):
Ac 0.0000 0.0000 0.2500 (multiplicity 4)
Ac 0.1284 0.3716 0.0000 (multiplicity 8)
La 0.0000 0.0000 0.0000 (multiplicity 4)
La 0.1926 0.3074 0.3580 (multiplicity 16)
Nd 0.0000 0.5000 0.2500 (multiplicity 4)

6.
Density functional theory data (PBE-GGA) for a relaxed Ac5LaNd crystal.

Summary:
ΔH_f (0 K) = 0.241 eV/atom
electronic total energy = -4.08 eV/atom
spin magnetization = 0.0 μB per formula unit

Cell: 5.6183 5.6183 9.8883 Å, 90.00 90.00 90.00°
Space group P4/mmm (No. 123)
Symmetry-distinct sites (fractional):
Ac 0.0000 0.0000 0.0000 (multiplicity 1)
Ac 0.0000 0.5000 0.2737 (multiplicity 4)
La 0.5000 0.5000 0.5000 (multiplicity 1)
Nd 0.5000 0.5000 0.0000 (multiplicity 1)

7.
Density functional theory data (PBE-GGA) for a relaxed Ac8La3Nd crystal.

Summary:
ΔH_f (0 K) = 0.308 eV/atom
electronic total energy = -4.06 eV/atom
spin magnetization = 0.0 μB per formula unit

Cell: 7.3471 11.8373 12.6962 Å, 90.00 90.00 90.00°
Space group Immm (No. 71)
Symmetry-distinct sites (fractional):
Ac 0.0000 0.1619 0.2495 (multiplicity 8)
Ac 0.2415 0.2596 0.0000 (multiplicity 8)
La 0.0000 0.0000 0.0000 (multiplicity 2)
La 0.0000 0.5000 0.2311 (multiplicity 4)
Nd 0.0000 0.0000 0.5000 (multiplicity 2)

8.
Density functional theory data (PBE-GGA) for a relaxed Ac12LaNd7 crystal.

Summary:
energy relative to the lowest polymorph listed for this composition = 403 meV per atom
ΔH_f (0 K) = 0.599 eV/atom
electronic total energy = -3.78 eV/atom
spin magnetization = 0.5 μB per formula unit

Cell: 12.2749 12.2749 12.2749 Å, 90.00 90.00 90.00°
Space group Im-3 (No. 204)
Symmetry-distinct sites (fractional):
Ac 0.0000 0.2179 0.2902 (multiplicity 24)
La 0.0000 0.0000 0.0000 (multiplicity 2)
Nd 0.0000 0.0000 0.5000 (multiplicity 6)
Nd 0.2500 0.2500 0.2500 (multiplicity 8)